Cs3SrMn2F9: relaxed, GGA+U.

Properties
Its volume is 18.5 Å³/atom. The calculation puts the energy at -5.3805 eV/atom. As for the crystal system: trigonal. The value obtained for the density is 4.6 g/cm³.

Structure (CIF):
```
data_Cs3SrMn2F9
_cell_length_a 6.3929
_cell_length_b 6.3929
_cell_length_c 7.8604
_cell_angle_alpha 90.00
_cell_angle_beta 90.00
_cell_angle_gamma 120.00
_space_group_name_H-M_alt 'P -3 m 1'
_space_group_IT_number 164
_space_group_name_Hall '-P 3 2"'
loop_
_atom_site_label
_atom_site_type_symbol
_atom_site_fract_x
_atom_site_fract_y
_atom_site_fract_z
_atom_site_occupancy
Cs1 Cs 0.0000 0.0000 0.0000 1
Cs2 Cs 0.3333 0.6667 0.6737 1
Sr1 Sr 0.0000 0.0000 0.5000 1
Mn1 Mn 0.3333 0.6667 0.1562 1
F1 F 0.0000 0.5000 0.0000 1
F2 F 0.1763 0.3527 0.3181 1
```